No. 1
# Ho2InOsC | Alexandria via LeMat-Bulk | PBE | optimized geometry
# **Total magnetic moment**: 0.00 Bohr magnetons per cell
# **Electronic total energy**: -6.88 eV per atom
# **Energy of formation from the pure elements**: -0.407 eV/atom
data_Ho2InOsC
_chemical_formula_sum 'Ho2 In1 Os1 C1'
_space_group_name_H-M_alt 'P 4/m m m'
_space_group_IT_number 123
_space_group_name_Hall '-P 4 2'
_cell_length_a 4.992
_cell_length_b 4.992
_cell_length_c 3.946
_cell_angle_alpha 90.00
_cell_angle_beta 90.00
_cell_angle_gamma 90.00
loop_
_atom_site_label
_atom_site_fract_x
_atom_site_fract_y
_atom_site_fract_z
Ho1 0.000 0.500 0.000
In1 0.000 0.000 0.500
Os1 0.500 0.500 0.500
C1 0.500 0.500 0.000

***

No. 2
# YMn2 | Alexandria via LeMat-Bulk | PBE | optimized geometry
# **Total magnetic moment**: 0.00 Bohr magnetons per cell
# **Electronic total energy**: -7.80 eV per atom
# **Energy of formation from the pure elements**: 0.464 eV/atom
data_YMn2
_chemical_formula_sum 'Y1 Mn2'
_space_group_name_H-M_alt 'P 4/m m m'
_space_group_IT_number 123
_space_group_name_Hall '-P 4 2'
_cell_length_a 3.273
_cell_length_b 3.273
_cell_length_c 4.895
_cell_angle_alpha 90.00
_cell_angle_beta 90.00
_cell_angle_gamma 90.00
loop_
_atom_site_label
_atom_site_fract_x
_atom_site_fract_y
_atom_site_fract_z
Y1 0.000 0.000 0.000
Mn1 0.000 0.500 0.500

***

No. 3
# MnTe3 | Alexandria via LeMat-Bulk | PBE | optimized geometry
# **Total magnetic moment**: 2.36 Bohr magnetons per cell
# **Electronic total energy**: -4.57 eV per atom
# **ΔE_f (raw)**: 75 meV/atom
data_MnTe3
_chemical_formula_sum 'Mn1 Te3'
_space_group_name_H-M_alt 'P -6 m 2'
_space_group_IT_number 187
_space_group_name_Hall 'P -6 2'
_cell_length_a 3.4878
_cell_length_b 3.4878
_cell_length_c 10.5796
_cell_angle_alpha 90.00
_cell_angle_beta 90.00
_cell_angle_gamma 120.00
loop_
_atom_site_label
_atom_site_fract_x
_atom_site_fract_y
_atom_site_fract_z
Mn1 0.0000 0.0000 0.0000
Te1 0.0000 0.0000 0.5000
Te2 0.6667 0.3333 0.1646

***

No. 4
# CdNiW2 | Alexandria via LeMat-Bulk | PBE | optimized geometry
# **Total magnetic moment**: 0.00 Bohr magnetons per cell
# **Electronic total energy**: -7.62 eV per atom
# **Energy of formation from the pure elements**: 0.530 eV/atom
data_CdNiW2
_chemical_formula_sum 'Cd2 Ni2 W4'
_space_group_name_H-M_alt 'C 1 2/m 1'
_space_group_IT_number 12
_cell_length_a 5.294
_cell_length_b 9.128
_cell_length_c 2.691
_cell_angle_alpha 90.00
_cell_angle_beta 103.56
_cell_angle_gamma 90.00
loop_
_space_group_symop_operation_xyz
'x,y,z'
'-x,-y,-z'
'-x,y,-z'
'x,-y,z'
'x+1/2,y+1/2,z'
'-x+1/2,-y+1/2,-z'
'-x+1/2,y+1/2,-z'
'x+1/2,-y+1/2,z'
loop_
_atom_site_label
_atom_site_fract_x
_atom_site_fract_y
_atom_site_fract_z
Cd1 0.000 0.000 0.000
Ni1 0.000 0.500 0.000
W1 0.250 0.250 0.500

***

No. 5
# Tm2AlCu6 | Alexandria via LeMat-Bulk | PBE | optimized geometry
# **Total magnetic moment**: 0.00 Bohr magnetons per cell
# **Electronic total energy**: -4.40 eV per atom
# **Energy of formation from the pure elements**: -0.257 eV/atom
data_Tm2AlCu6
_chemical_formula_sum 'Tm2 Al1 Cu6'
_space_group_name_H-M_alt 'P -3 m 1'
_space_group_IT_number 164
_space_group_name_Hall '-P 3 2"'
_cell_length_a 5.4656
_cell_length_b 5.4656
_cell_length_c 5.5311
_cell_angle_alpha 90.00
_cell_angle_beta 90.00
_cell_angle_gamma 120.00
loop_
_atom_site_label
_atom_site_fract_x
_atom_site_fract_y
_atom_site_fract_z
Tm1 0.3333 0.6667 0.1523
Al1 0.0000 0.0000 0.0000
Cu1 0.1801 0.3602 0.6636

***

no.,DOS(E_F) (states/eV per atom)
1,0.458
2,0.891
3,0.687
4,1.025
5,0.486